No. 1
# PmZnGePd

PmZnGePd after structural relaxation (GGA-PBE, Alexandria via LeMat-Bulk).

Lattice parameters (Å, degrees): 6.733 6.733 6.733 90.00 90.00 90.00
Space group F-43m (No. 216)
Unique sites:
1 Pm 0.000 0.000 0.000 [4 per cell]
2 Zn 0.250 0.250 0.250 [4 per cell]
3 Ge 0.250 0.250 0.750 [4 per cell]
4 Pd 0.000 0.000 0.500 [4 per cell]

Values from the calculation:
- Electronic total energy: -0.164 hartree per atom
- Energy of formation: -0.517 eV/atom

---

No. 2
# PmZnGe2Pd5

PmZnGe2Pd5 after structural relaxation (GGA-PBE, Alexandria via LeMat-Bulk).

Lattice parameters (Å, degrees): 4.599 4.599 7.788 90.00 90.00 90.00
Space group P4/mmm (No. 123)
Unique sites:
1 Pm 0.000 0.000 0.000 [1 per cell]
2 Zn 0.000 0.000 0.500 [1 per cell]
3 Ge 0.500 0.500 0.347 [2 per cell]
4 Pd 0.000 0.500 0.243 [4 per cell]
5 Pd 0.500 0.500 0.000 [1 per cell]

Values from the calculation:
- Electronic total energy: -0.185 hartree per atom
- Energy of formation: -0.451 eV/atom

---

No. 3
# PmZnGePd2

PmZnGePd2 after structural relaxation (GGA-PBE, Alexandria via LeMat-Bulk).

Lattice parameters (Å, degrees): 3.946 4.101 11.768 90.00 90.00 90.00
Space group Imm2 (No. 44)
Unique sites:
1 Pm 0.000 0.000 0.000 [2 per cell]
2 Zn 0.000 0.500 0.754 [2 per cell]
3 Ge 0.000 0.000 0.613 [2 per cell]
4 Pd 0.000 0.000 0.403 [2 per cell]
5 Pd 0.000 0.500 0.241 [2 per cell]

Values from the calculation:
- Electronic total energy: -0.179 hartree per atom
- Energy of formation: -0.661 eV/atom

---

No. 4
# Pm2ZnGePd6

Pm2ZnGePd6 after structural relaxation (GGA-PBE, Alexandria via LeMat-Bulk).

Lattice parameters (Å, degrees): 5.502 6.465 6.539 74.62 65.15 64.92
Space group P-1 (No. 2)
Unique sites:
1 Pm 0.000 0.247 0.254 [2 per cell]
2 Zn 0.500 0.000 0.500 [1 per cell]
3 Ge 0.500 0.500 0.000 [1 per cell]
4 Pd 0.004 0.695 0.296 [2 per cell]
5 Pd 0.328 0.924 0.921 [2 per cell]
6 Pd 0.495 0.306 0.703 [2 per cell]

Values from the calculation:
- Electronic total energy: -0.195 hartree per atom
- Energy of formation: -0.647 eV/atom

---

No. 5
# Pm2ZrGe4Pd3

Pm2ZrGe4Pd3 after structural relaxation (GGA-PBE, Alexandria via LeMat-Bulk).

Lattice parameters (Å, degrees): 4.271 4.271 11.067 90.00 90.00 90.00
Space group P-4m2 (No. 115)
Unique sites:
1 Pm 0.000 0.500 0.233 [2 per cell]
2 Zr 0.000 0.000 0.500 [1 per cell]
3 Ge 0.000 0.000 0.000 [1 per cell]
4 Ge 0.000 0.500 0.651 [2 per cell]
5 Ge 0.500 0.500 0.000 [1 per cell]
6 Pd 0.000 0.500 0.876 [2 per cell]
7 Pd 0.500 0.500 0.500 [1 per cell]

Values from the calculation:
- Electronic total energy: -0.221 hartree per atom
- Energy of formation: -0.793 eV/atom

---

No. 6
# PrGePd4

PrGePd4 after structural relaxation (GGA-PBE, Alexandria via LeMat-Bulk).

Lattice parameters (Å, degrees): 5.331 5.331 9.080 90.00 90.00 90.00
Space group P4_2/nmc (No. 137, origin choice 2)
Unique sites:
1 Pr 0.250 0.750 0.250 [2 per cell]
2 Ge 0.250 0.750 0.750 [2 per cell]
3 Pd 0.011 0.250 0.039 [8 per cell]

Values from the calculation:
- Electronic total energy: -0.196 hartree per atom
- Energy of formation: -0.315 eV/atom
- Energy above the lowest structure with this stoichiometry: 337.6 meV/atom

---

No. 7
# PrGe3Pd

PrGe3Pd after structural relaxation (GGA-PBE, Alexandria via LeMat-Bulk).

Lattice parameters (Å, degrees): 5.699 6.097 5.873 90.00 91.18 90.00
Space group P2_1/m (No. 11)
Unique sites:
1 Pr 0.126 0.250 0.274 [2 per cell]
2 Ge 0.052 0.750 0.200 [2 per cell]
3 Ge 0.368 0.032 0.810 [4 per cell]
4 Pd 0.376 0.750 0.492 [2 per cell]

Values from the calculation:
- Electronic total energy: -0.195 hartree per atom
- Energy of formation: -0.543 eV/atom

---

No. 8
# Pr5GePd2

Pr5GePd2 after structural relaxation (GGA-PBE, Alexandria via LeMat-Bulk).

Lattice parameters (Å, degrees): 8.065 8.065 13.601 90.00 90.00 90.00
Space group I4/mcm (No. 140)
Unique sites:
1 Pr 0.000 0.000 0.000 [4 per cell]
2 Pr 0.162 0.338 0.146 [16 per cell]
3 Ge 0.000 0.000 0.250 [4 per cell]
4 Pd 0.130 0.370 0.500 [8 per cell]

Values from the calculation:
- Electronic total energy: -0.200 hartree per atom
- Energy of formation: -0.583 eV/atom

---

No. 9
# Pr3Ge2Pd2

Pr3Ge2Pd2 after structural relaxation (GGA-PBE, Alexandria via LeMat-Bulk).

Lattice parameters (Å, degrees): 5.858 8.251 13.540 90.00 90.00 90.00
Space group Pbcm (No. 57)
Unique sites:
1 Pr 0.132 0.101 0.104 [8 per cell]
2 Pr 0.364 0.740 0.250 [4 per cell]
3 Ge 0.146 0.110 0.750 [4 per cell]
4 Ge 0.317 0.750 0.000 [4 per cell]
5 Pd 0.384 0.047 0.590 [8 per cell]

Values from the calculation:
- Electronic total energy: -0.209 hartree per atom
- Energy of formation: -0.834 eV/atom

---

No. 10
# Pr2Ge3Pd5

Pr2Ge3Pd5 after structural relaxation (GGA-PBE, Alexandria via LeMat-Bulk).

Lattice parameters (Å, degrees): 4.192 4.192 11.344 90.00 90.00 90.00
Space group P-4m2 (No. 115)
Unique sites:
1 Pr 0.000 0.500 0.223 [2 per cell]
2 Ge 0.000 0.500 0.636 [2 per cell]
3 Ge 0.500 0.500 0.500 [1 per cell]
4 Pd 0.000 0.000 0.000 [1 per cell]
5 Pd 0.000 0.000 0.500 [1 per cell]
6 Pd 0.000 0.500 0.847 [2 per cell]
7 Pd 0.500 0.500 0.000 [1 per cell]

Values from the calculation:
- Electronic total energy: -0.204 hartree per atom
- Energy of formation: -0.603 eV/atom
- Energy above the lowest structure with this stoichiometry: 134.1 meV/atom

---

No. 11
# Pr3GePd4

Pr3GePd4 after structural relaxation (GGA-PBE, Alexandria via LeMat-Bulk).

Lattice parameters (Å, degrees): 4.241 6.693 13.873 90.00 90.00 90.00
Space group Immm (No. 71)
Unique sites:
1 Pr 0.000 0.000 0.000 [2 per cell]
2 Pr 0.000 0.500 0.184 [4 per cell]
3 Ge 0.000 0.000 0.500 [2 per cell]
4 Pd 0.000 0.294 0.384 [8 per cell]

Values from the calculation:
- Electronic total energy: -0.206 hartree per atom
- Energy of formation: -0.652 eV/atom

---

No. 12
# Pr3Ge2Pd6

Pr3Ge2Pd6 after structural relaxation (GGA-PBE, Alexandria via LeMat-Bulk).

Lattice parameters (Å, degrees): 9.610 9.610 9.610 90.00 90.00 90.00
Space group Im-3m (No. 229)
Unique sites:
1 Pr 0.000 0.000 0.287 [12 per cell]
2 Ge 0.250 0.250 0.250 [8 per cell]
3 Pd 0.000 0.329 0.329 [24 per cell]

Values from the calculation:
- Electronic total energy: -0.211 hartree per atom
- Energy of formation: -0.774 eV/atom

---

No. 13
# Pr3Ge8Pd3

Pr3Ge8Pd3 after structural relaxation (GGA-PBE, Alexandria via LeMat-Bulk).

Lattice parameters (Å, degrees): 16.440 4.477 8.900 90.00 118.12 90.00
Space group C2/m (No. 12)
Unique sites:
1 Pr 0.000 0.000 0.000 [2 per cell]
2 Pr 0.212 0.500 0.684 [4 per cell]
3 Ge 0.019 0.500 0.698 [4 per cell]
4 Ge 0.122 0.000 0.405 [4 per cell]
5 Ge 0.133 0.500 0.269 [4 per cell]
6 Ge 0.168 0.000 0.889 [4 per cell]
7 Pd 0.000 0.000 0.500 [2 per cell]
8 Pd 0.153 0.500 0.008 [4 per cell]

Values from the calculation:
- Electronic total energy: -0.197 hartree per atom
- Energy of formation: -0.587 eV/atom

---

No. 14
# PrGe3Pd3

PrGe3Pd3 after structural relaxation (GGA-PBE, Alexandria via LeMat-Bulk).

Lattice parameters (Å, degrees): 6.803 6.803 6.803 90.00 90.00 90.00
Space group Pm-3n (No. 223)
Unique sites:
1 Pr 0.000 0.000 0.000 [2 per cell]
2 Ge 0.000 0.250 0.500 [6 per cell]
3 Pd 0.000 0.500 0.250 [6 per cell]

Values from the calculation:
- Electronic total energy: -0.192 hartree per atom
- Energy of formation: -0.333 eV/atom
- Energy above the lowest structure with this stoichiometry: 159.8 meV/atom

---

No. 15
# PrGe4Pd12

PrGe4Pd12 after structural relaxation (GGA-PBE, Alexandria via LeMat-Bulk).

Lattice parameters (Å, degrees): 8.556 8.556 8.556 90.00 90.00 90.00
Space group Im-3 (No. 204)
Unique sites:
1 Pr 0.000 0.000 0.000 [2 per cell]
2 Ge 0.250 0.250 0.250 [8 per cell]
3 Pd 0.000 0.162 0.344 [24 per cell]

Values from the calculation:
- Electronic total energy: -0.196 hartree per atom
- Energy of formation: -0.299 eV/atom

---

No. 16
# Pr3Ge2Pd3

Pr3Ge2Pd3 after structural relaxation (GGA-PBE, Alexandria via LeMat-Bulk).

Lattice parameters (Å, degrees): 7.865 15.653 5.870 90.00 90.00 90.00
Space group Pnma (No. 62)
Unique sites:
1 Pr 0.028 0.108 0.142 [8 per cell]
2 Pr 0.162 0.250 0.632 [4 per cell]
3 Ge 0.123 0.605 0.354 [8 per cell]
4 Pd 0.171 0.032 0.594 [8 per cell]
5 Pd 0.193 0.750 0.621 [4 per cell]

Values from the calculation:
- Electronic total energy: -0.211 hartree per atom
- Energy of formation: -0.849 eV/atom
- Energy above the lowest structure with this stoichiometry: 0.0 meV/atom

---

No. 17
# PrGe4Pd6

PrGe4Pd6 after structural relaxation (GGA-PBE, Alexandria via LeMat-Bulk).

Lattice parameters (Å, degrees): 7.3327 7.3327 4.0242 90.00 90.00 120.00
Space group P-6m2 (No. 187)
Unique sites:
1 Pr 0.0000 0.0000 0.0000 [1 per cell]
2 Ge 0.3333 0.6667 0.0000 [1 per cell]
3 Ge 0.3869 0.1934 0.5000 [3 per cell]
4 Pd 0.2006 0.4012 0.5000 [3 per cell]
5 Pd 0.5354 0.0708 0.0000 [3 per cell]

Values from the calculation:
- Electronic total energy: -0.207 hartree per atom
- Energy of formation: -0.676 eV/atom

---

No. 18
# PrGePd6

PrGePd6 after structural relaxation (GGA-PBE, Alexandria via LeMat-Bulk).

Lattice parameters (Å, degrees): 5.6043 5.6043 18.4336 90.00 90.00 120.00
Space group R-3m (No. 166, hexagonal axes)
Unique sites:
1 Pr 0.0000 0.0000 0.0000 [3 per cell]
2 Ge 0.0000 0.0000 0.5000 [3 per cell]
3 Pd 0.0119 0.5059 0.9267 [18 per cell]

Values from the calculation:
- Electronic total energy: -0.198 hartree per atom
- Energy of formation: -0.306 eV/atom

---

No. 19
# Pr3Ge3Pd2

Pr3Ge3Pd2 after structural relaxation (GGA-PBE, Alexandria via LeMat-Bulk).

Lattice parameters (Å, degrees): 4.460 10.860 15.028 90.00 90.00 90.00
Space group Cmcm (No. 63)
Unique sites:
1 Pr 0.000 0.097 0.108 [8 per cell]
2 Pr 0.000 0.373 0.250 [4 per cell]
3 Ge 0.000 0.333 0.750 [4 per cell]
4 Ge 0.000 0.391 0.039 [8 per cell]
5 Pd 0.000 0.196 0.600 [8 per cell]

Values from the calculation:
- Electronic total energy: -0.210 hartree per atom
- Energy of formation: -0.889 eV/atom